Material: RbNbVO6
Method: DFT, GGA+U
State: relaxed

Unit cell a=5.3415 b=5.4127 c=6.1029 alpha=89.79 beta=89.32 gamma=60.71
Fractional coordinates of all 9 atoms:
Rb (0.0000, 0.0000, 0.0000)
Nb (0.3178, 0.3592, 0.4677)
V (0.6896, 0.6320, 0.5366)
O (0.4132, 0.5966, 0.3107)
O (0.4171, 0.9754, 0.6550)
O (0.5922, 0.4177, 0.6912)
O (0.6092, 0.9883, 0.3510)
O (0.9759, 0.4148, 0.3204)
O (0.9943, 0.5854, 0.6916)

Total DFT energy (no corrections) in eV/cell: -65.79
Symmetry: P1, No. 1